(1)
This record from Alexandria describes crystalline TlTePd4 at its relaxed geometry. The functional is PBE.

Summary:
Formation energy without anion corrections = -206 meV per atom
Size of the total moment = 0.000 μB per atom

```
TlTePd4
1.0
3.969 0.000 -0.814
0.000 5.735 0.000
-0.036 0.000 9.911
Tl Te Pd
2 2 8
direct
0.727 0.250 0.454
0.273 0.750 0.546
0.423 0.250 0.846
0.577 0.750 0.154
0.000 0.000 0.000
0.000 0.500 0.000
0.149 0.002 0.297
0.851 0.502 0.703
0.149 0.498 0.297
0.851 0.998 0.703
0.575 0.250 0.150
0.425 0.750 0.850
```

(2)
This record from Alexandria describes crystalline TlTePd14 at its relaxed geometry. The functional is PBE.

Summary:
Formation energy without anion corrections = -105 meV per atom
Size of the total moment = 0.000 μB per atom

```
TlTePd14
1.0
-5.002 -1.770 -2.366
2.720 -0.940 -5.047
1.523 -7.192 2.160
Tl Te Pd
1 1 14
direct
0.375 0.375 0.500
0.875 0.875 0.500
0.875 0.875 0.000
0.375 0.375 0.000
0.875 0.375 0.500
0.875 0.375 0.000
0.375 0.875 0.500
0.375 0.875 0.000
0.627 0.123 0.246
0.627 0.123 0.754
0.123 0.627 0.246
0.123 0.627 0.754
0.627 0.627 0.246
0.627 0.627 0.754
0.123 0.123 0.246
0.123 0.123 0.754
```

(3)
This record from Alexandria describes crystalline Tl2Te2Pd3 at its relaxed geometry. The functional is PBE.

Summary:
Formation energy without anion corrections = -294 meV per atom
Size of the total moment = 0.000 μB per atom

```
Tl2Te2Pd3
1.0
5.221 0.000 2.758
1.882 4.870 2.758
-0.077 -0.053 6.468
Tl Te Pd
2 2 3
direct
0.500 0.500 0.500
0.000 0.000 0.000
0.210 0.210 0.369
0.790 0.790 0.631
0.500 0.000 0.000
0.500 0.500 0.000
0.000 0.500 0.000
```

(4)
This record from Alexandria describes crystalline TlTePd6 at its relaxed geometry. The functional is PBE.

Summary:
Formation energy without anion corrections = -212 meV per atom
Size of the total moment = 0.000 μB per atom

```
TlTePd6
1.0
-0.643 -3.040 2.662
3.415 -1.850 -1.288
4.292 4.012 5.618
Tl Te Pd
1 1 6
direct
0.000 0.000 0.500
0.000 0.000 0.000
0.500 0.500 0.000
0.500 0.500 0.500
0.500 0.000 0.246
0.500 0.000 0.754
0.000 0.500 0.246
0.000 0.500 0.754
```

(5)
This record from Alexandria describes crystalline TlTePd3 at its relaxed geometry. The functional is PBE.

Summary:
Formation energy without anion corrections = -241 meV per atom
Size of the total moment = 0.000 μB per atom

```
TlTePd3
1.0
4.581 0.000 0.000
0.000 5.759 0.000
0.000 0.000 8.020
Tl Te Pd
2 2 6
direct
0.000 0.646 0.360
0.000 0.146 0.640
0.500 0.742 0.863
0.500 0.242 0.137
0.500 0.394 0.454
0.500 0.289 0.799
0.000 0.624 0.712
0.500 0.894 0.546
0.000 0.124 0.288
0.500 0.789 0.201
```

(6)
This record from Alexandria describes crystalline Tl3TePd12 at its relaxed geometry. The functional is PBE.

Summary:
Formation energy without anion corrections = -203 meV per atom
Size of the total moment = 0.000 μB per atom

```
Tl3TePd12
1.0
4.076 0.000 0.000
0.000 4.076 0.000
0.000 0.000 16.398
Tl Te Pd
3 1 12
direct
0.000 0.000 0.252
0.000 0.000 0.500
0.000 0.000 0.748
0.000 0.000 0.000
0.500 0.500 0.000
0.500 0.500 0.246
0.500 0.500 0.500
0.500 0.500 0.754
0.500 0.000 0.122
0.500 0.000 0.375
0.500 0.000 0.625
0.500 0.000 0.878
0.000 0.500 0.122
0.000 0.500 0.375
0.000 0.500 0.625
0.000 0.500 0.878
```

Question: Which of these has the lowest formation energy without anion corrections?
Answer: Tl2Te2Pd3

Question: formation energy without anion corrections of number 1 (TlTePd4)?
Answer: -206 meV per atom

Question: formation energy without anion corrections of number 5 (TlTePd3)?
Answer: -241 meV per atom

Question: Which formula does entry 3 have?
Answer: Tl2Te2Pd3